## BaFe2Ag (GGA-PBEsol)

Data for a geometry-optimized BaFe2Ag structure.

Cell: 4.213 4.213 5.317 Å, 113.34 113.34 90.00°
Atoms (fractional coordinates):
Fe 0.750 0.250 0.500
Fe 0.250 0.750 0.500
Ag 0.500 0.500 0.000
Ba 0.000 0.000 0.000



## BaFe2Ag (GGA-PBEsol)

Data for a geometry-optimized BaFe2Ag structure.

Cell: 3.339 4.728 4.942 Å, 90.00 90.00 90.00°
Atoms (fractional coordinates):
Fe 0.000 0.000 0.000
Fe 0.500 0.000 0.500
Ba 0.000 0.500 0.500
Ag 0.500 0.500 0.000



## BaFe2Ag (GGA-PBEsol)

Data for a geometry-optimized BaFe2Ag structure.

Cell: 4.802 4.802 4.802 Å, 60.00 60.00 60.00°
Atoms (fractional coordinates):
Ba 0.500 0.500 0.500
Fe 0.250 0.250 0.250
Fe 0.750 0.750 0.750
Ag 0.000 0.000 0.000



The uncorrected energy results, record by record, are as follows: -4.861; -4.840; -4.813 eV/atom.
The formation energy from the elements results, record by record, are as follows: 0.986; 1.007; 1.034 eV/atom.
The mass density results, record by record, are as follows: 7.58; 7.59; 7.57 g/cm3.